No. 1
Computed, not measured: a relaxed structure of CsBiAs2Br at the PBE level of DFT.

## Properties
Offset from the most stable computed form   0 meV/atom
SG   P4/mmm, No. 123
Spin magnetization   0.229 μB per atom
Total energy   -3.171 eV per atom
ΔE_f (raw)   -0.03 eV/atom

Unit cell a=5.5347 b=5.5347 c=6.3571 alpha=90.00 beta=90.00 gamma=90.00
Fractional positions:
Cs (0.0000, 0.0000, 0.0000)
Bi (0.5000, 0.5000, 0.5000)
As (0.0000, 0.5000, 0.5000)
As (0.5000, 0.0000, 0.5000)
Br (0.5000, 0.5000, 0.0000)



No. 2
Computed, not measured: a relaxed structure of CeAlSe2 at the PBE level of DFT.

## Properties
Offset from the most stable computed form   188 meV/atom
SG   R-3m, No. 166
Spin magnetization   0.355 μB per atom
Total energy   -4.842 eV per atom
ΔE_f (raw)   -0.68 eV/atom

Unit cell a=8.9507 b=8.9507 c=8.9507 alpha=24.01 beta=24.01 gamma=24.01
Fractional positions:
Ce (0.0000, 0.0000, 0.0000)
Al (0.5000, 0.5000, 0.5000)
Se (0.1122, 0.1122, 0.1122)
Se (0.8878, 0.8878, 0.8878)



No. 3
Computed, not measured: a relaxed structure of K3PPt at the PBE level of DFT.

## Properties
Offset from the most stable computed form   651 meV/atom
SG   Pm-3m, No. 221
Spin magnetization   0.400 μB per atom
ΔH_f (0 K)   0.38 eV per atom
Total energy   -2.571 eV per atom

Unit cell a=6.0587 b=6.0587 c=6.0587 alpha=90.00 beta=90.00 gamma=90.00
Fractional positions:
K (0.0000, 0.0000, 0.5000)
K (0.0000, 0.5000, 0.0000)
K (0.5000, 0.0000, 0.0000)
P (0.5000, 0.5000, 0.5000)
Pt (0.0000, 0.0000, 0.0000)



No. 4
Computed, not measured: a relaxed structure of ScGeSbTe2 at the PBE level of DFT.

## Properties
Offset from the most stable computed form   0 meV/atom
SG   P4/mmm, No. 123
Spin magnetization   0.000 μB per atom
Total energy   -4.103 eV per atom
ΔE_f (raw)   0.17 eV/atom

Unit cell a=5.4846 b=5.4846 c=5.5178 alpha=90.00 beta=90.00 gamma=90.00
Fractional positions:
Sc (0.0000, 0.0000, 0.0000)
Ge (0.5000, 0.5000, 0.5000)
Sb (0.0000, 0.0000, 0.5000)
Te (0.0000, 0.5000, 0.0000)
Te (0.5000, 0.0000, 0.0000)



No. 5
Computed, not measured: a relaxed structure of Na2TcH5 at the PBE level of DFT.

## Properties
SG   P1, No. 1
Spin magnetization   0.082 μB per atom
Total energy   -3.798 eV per atom

Unit cell a=3.0013 b=5.3353 c=5.4705 alpha=118.19 beta=90.23 gamma=90.08
Fractional positions:
Na (0.0000, 0.0000, 0.0000)
Na (0.0091, 0.6838, 0.3211)
Tc (0.5072, 0.3415, 0.6162)
H (0.0072, 0.1802, 0.6859)
H (0.0080, 0.5504, 0.6447)
H (0.5061, 0.0121, 0.3409)
H (0.5057, 0.3414, 0.3087)
H (0.5092, 0.5832, 0.9767)



No. 6
Computed, not measured: a relaxed structure of SbOs at the PBE level of DFT.

## Properties
SG   P4/nmm, No. 129
Spin magnetization   0.000 μB per atom
Total energy   -6.988 eV per atom
ΔE_f (raw)   0.69 eV/atom

Unit cell a=4.3017 b=4.3017 c=4.0097 alpha=90.00 beta=90.00 gamma=90.00
Fractional positions:
Sb (0.2500, 0.7500, 0.0000)
Sb (0.7500, 0.2500, 0.0000)
Os (0.2500, 0.2500, 0.3943)
Os (0.7500, 0.7500, 0.6057)



No. 7
Computed, not measured: a relaxed structure of YBeCd3 at the PBE level of DFT.

## Properties
Offset from the most stable computed form   1204 meV/atom
SG   Pm-3m, No. 221
Spin magnetization   0.000 μB per atom
ΔH_f (0 K)   1.24 eV per atom
Total energy   -1.346 eV per atom

Unit cell a=5.9719 b=5.9719 c=5.9719 alpha=90.00 beta=90.00 gamma=90.00
Fractional positions:
Y (0.0000, 0.0000, 0.0000)
Be (0.5000, 0.5000, 0.5000)
Cd (0.0000, 0.0000, 0.5000)
Cd (0.0000, 0.5000, 0.0000)
Cd (0.5000, 0.0000, 0.0000)



No. 8
Computed, not measured: a relaxed structure of Sm2Ho12Tm5 at the PBE level of DFT.

## Properties
Offset from the most stable computed form   0 meV/atom
SG   P-1, No. 2
Spin magnetization   0.000 μB per atom
ΔH_f (0 K)   0.07 eV per atom
Total energy   -4.499 eV per atom

Unit cell a=6.2515 b=9.1200 c=10.5372 alpha=87.06 beta=83.40 gamma=88.60
Fractional positions:
Sm (0.0510, 0.0073, 0.1567)
Sm (0.9490, 0.9927, 0.8433)
Ho (0.0098, 0.6742, 0.3929)
Ho (0.0970, 0.3288, 0.9415)
Ho (0.1413, 0.6404, 0.7414)
Ho (0.3350, 0.2018, 0.3509)
Ho (0.4226, 0.8312, 0.9491)
Ho (0.4828, 0.1671, 0.7216)
Ho (0.5172, 0.8329, 0.2784)
Ho (0.5774, 0.1688, 0.0509)
Ho (0.6650, 0.7982, 0.6491)
Ho (0.8587, 0.3596, 0.2586)
Ho (0.9030, 0.6712, 0.0585)
Ho (0.9902, 0.3258, 0.6071)
Tm (0.2131, 0.9433, 0.5580)
Tm (0.3785, 0.5096, 0.1577)
Tm (0.5000, 0.5000, 0.5000)
Tm (0.6215, 0.4904, 0.8423)
Tm (0.7869, 0.0567, 0.4420)



No. 9
Computed, not measured: a relaxed structure of LaInNi at the PBE level of DFT.

## Properties
SG   Pmma, No. 51
Spin magnetization   0.000 μB per atom
ΔH_f (0 K)   -0.47 eV per atom
Total energy   -4.951 eV per atom

Unit cell a=13.2188 b=4.0533 c=7.6828 alpha=90.00 beta=90.00 gamma=90.00
Fractional positions:
La (0.0422, 0.0000, 0.2334)
La (0.2500, 0.0000, 0.8688)
La (0.4578, 0.0000, 0.2334)
La (0.5422, 0.0000, 0.7666)
La (0.7500, 0.0000, 0.1312)
La (0.9578, 0.0000, 0.7666)
In (0.1283, 0.5000, 0.5741)
In (0.2500, 0.5000, 0.2115)
In (0.3717, 0.5000, 0.5741)
In (0.6283, 0.5000, 0.4259)
In (0.7500, 0.5000, 0.7885)
In (0.8717, 0.5000, 0.4259)
Ni (0.0934, 0.5000, 0.9449)
Ni (0.2500, 0.0000, 0.4512)
Ni (0.4066, 0.5000, 0.9449)
Ni (0.5934, 0.5000, 0.0551)
Ni (0.7500, 0.0000, 0.5488)
Ni (0.9066, 0.5000, 0.0551)



No. 10
Computed, not measured: a relaxed structure of LaDy3Hg4 at the PBE level of DFT.

## Properties
SG   Pmma, No. 51
Spin magnetization   0.110 μB per atom
ΔH_f (0 K)   -0.47 eV per atom
Total energy   -2.965 eV per atom

Unit cell a=10.5846 b=7.6583 c=5.2934 alpha=90.00 beta=90.00 gamma=90.00
Fractional positions:
La (0.0000, 0.0000, 0.0000)
La (0.5000, 0.0000, 0.0000)
Dy (0.0000, 0.5000, 0.0000)
Dy (0.2500, 0.0000, 0.4987)
Dy (0.2500, 0.5000, 0.4988)
Dy (0.5000, 0.5000, 0.0000)
Dy (0.7500, 0.0000, 0.5013)
Dy (0.7500, 0.5000, 0.5012)
Hg (0.0000, 0.2647, 0.5000)
Hg (0.0000, 0.7353, 0.5000)
Hg (0.2500, 0.2647, 0.9985)
Hg (0.2500, 0.7353, 0.9985)
Hg (0.5000, 0.2647, 0.5000)
Hg (0.5000, 0.7353, 0.5000)
Hg (0.7500, 0.2647, 0.0015)
Hg (0.7500, 0.7353, 0.0015)



No. 11
Computed, not measured: a relaxed structure of Sm3Cr5Te12 at the PBE level of DFT.

## Properties
SG   Ia-3d, No. 230
Spin magnetization   0.750 μB per atom
Total energy   -5.496 eV per atom
ΔE_f (raw)   -0.50 eV/atom

Unit cell a=14.7384 b=14.7384 c=14.7384 alpha=109.47 beta=109.47 gamma=109.47
Fractional positions:
Sm (0.1250, 0.2500, 0.3750)
Sm (0.1250, 0.3750, 0.7500)
Sm (0.2500, 0.3750, 0.1250)
Sm (0.2500, 0.8750, 0.6250)
Sm (0.3750, 0.1250, 0.2500)
Sm (0.3750, 0.7500, 0.1250)
Sm (0.6250, 0.2500, 0.8750)
Sm (0.6250, 0.8750, 0.7500)
Sm (0.7500, 0.1250, 0.3750)
Sm (0.7500, 0.6250, 0.8750)
Sm (0.8750, 0.6250, 0.2500)
Sm (0.8750, 0.7500, 0.6250)
Cr (0.0000, 0.0000, 0.0000)
Cr (0.0000, 0.0000, 0.5000)
Cr (0.0000, 0.5000, 0.0000)
Cr (0.0000, 0.5000, 0.5000)
Cr (0.1250, 0.7500, 0.8750)
Cr (0.1250, 0.8750, 0.2500)
Cr (0.2500, 0.1250, 0.8750)
Cr (0.2500, 0.6250, 0.3750)
Cr (0.3750, 0.2500, 0.6250)
Cr (0.3750, 0.6250, 0.7500)
Cr (0.5000, 0.0000, 0.0000)
Cr (0.5000, 0.0000, 0.5000)
Cr (0.5000, 0.5000, 0.0000)
Cr (0.5000, 0.5000, 0.5000)
Cr (0.6250, 0.3750, 0.2500)
Cr (0.6250, 0.7500, 0.3750)
Cr (0.7500, 0.3750, 0.6250)
Cr (0.7500, 0.8750, 0.1250)
Cr (0.8750, 0.1250, 0.7500)
Cr (0.8750, 0.2500, 0.1250)
Te (0.0315, 0.2077, 0.1195)
Te (0.0315, 0.3237, 0.9120)
Te (0.0880, 0.6195, 0.4118)
Te (0.0882, 0.7077, 0.6763)
Te (0.0882, 0.8805, 0.4120)
Te (0.0880, 0.9685, 0.6763)
Te (0.1195, 0.0315, 0.2077)
Te (0.1195, 0.5880, 0.9118)
Te (0.1763, 0.2077, 0.5882)
Te (0.1763, 0.4685, 0.5880)
Te (0.2077, 0.1195, 0.0315)
Te (0.2077, 0.5882, 0.1763)
Te (0.2923, 0.3237, 0.9118)
Te (0.2923, 0.4685, 0.3805)
Te (0.3237, 0.9120, 0.0315)
Te (0.3237, 0.9118, 0.2923)
Te (0.3805, 0.2923, 0.4685)
Te (0.3805, 0.5882, 0.9120)
Te (0.4118, 0.0880, 0.6195)
Te (0.4120, 0.0882, 0.8805)
Te (0.4120, 0.8237, 0.5315)
Te (0.4118, 0.8237, 0.7923)
Te (0.4685, 0.3805, 0.2923)
Te (0.4685, 0.5880, 0.1763)
Te (0.5315, 0.4120, 0.8237)
Te (0.5315, 0.6195, 0.7077)
Te (0.5882, 0.1763, 0.2077)
Te (0.5880, 0.1763, 0.4685)
Te (0.5880, 0.9118, 0.1195)
Te (0.5882, 0.9120, 0.3805)
Te (0.6195, 0.4118, 0.0880)
Te (0.6195, 0.7077, 0.5315)
Te (0.6763, 0.0882, 0.7077)
Te (0.6763, 0.0880, 0.9685)
Te (0.7077, 0.5315, 0.6195)
Te (0.7077, 0.6763, 0.0882)
Te (0.7923, 0.4118, 0.8237)
Te (0.7923, 0.8805, 0.9685)
Te (0.8237, 0.5315, 0.4120)
Te (0.8237, 0.7923, 0.4118)
Te (0.8805, 0.4120, 0.0882)
Te (0.8805, 0.9685, 0.7923)
Te (0.9120, 0.0315, 0.3237)
Te (0.9118, 0.1195, 0.5880)
Te (0.9118, 0.2923, 0.3237)
Te (0.9120, 0.3805, 0.5882)
Te (0.9685, 0.6763, 0.0880)
Te (0.9685, 0.7923, 0.8805)



No. 12
Computed, not measured: a relaxed structure of Rb2AlSbCl6 at the PBE level of DFT.

## Properties
SG   I4/mmm, No. 139
Spin magnetization   0.000 μB per atom
Total energy   -3.368 eV per atom
ΔE_f (raw)   -1.28 eV/atom

Unit cell a=7.5042 b=7.5042 c=7.5042 alpha=118.60 beta=118.60 gamma=92.45
Fractional positions:
Rb (0.2500, 0.7500, 0.5000)
Rb (0.7500, 0.2500, 0.5000)
Al (0.0000, 0.0000, 0.0000)
Sb (0.5000, 0.5000, 0.0000)
Cl (0.2184, 0.2184, 0.4369)
Cl (0.2184, 0.7816, 0.0000)
Cl (0.2397, 0.2397, 0.0000)
Cl (0.7603, 0.7603, 0.0000)
Cl (0.7816, 0.2184, 0.0000)
Cl (0.7816, 0.7816, 0.5631)



No. 13
Computed, not measured: a relaxed structure of Ta5Mo4 at the PBE level of DFT.

## Properties
Offset from the most stable computed form   358 meV/atom
SG   P6_3/mcm, No. 193
Spin magnetization   0.000 μB per atom
ΔH_f (0 K)   0.19 eV per atom
Total energy   -11.208 eV per atom

Unit cell a=8.2879 b=8.2879 c=5.2816 alpha=90.00 beta=90.00 gamma=120.00
Fractional positions:
Ta (0.0000, 0.3047, 0.2500)
Ta (0.0000, 0.6953, 0.7500)
Ta (0.3047, 0.0000, 0.2500)
Ta (0.3047, 0.3047, 0.7500)
Ta (0.3333, 0.6667, 0.0000)
Ta (0.3333, 0.6667, 0.5000)
Ta (0.6667, 0.3333, 0.0000)
Ta (0.6667, 0.3333, 0.5000)
Ta (0.6953, 0.0000, 0.7500)
Ta (0.6953, 0.6953, 0.2500)
Mo (0.0000, 0.0000, 0.0000)
Mo (0.0000, 0.0000, 0.5000)
Mo (0.0000, 0.3576, 0.7500)
Mo (0.0000, 0.6424, 0.2500)
Mo (0.3576, 0.0000, 0.7500)
Mo (0.3576, 0.3576, 0.2500)
Mo (0.6424, 0.0000, 0.2500)
Mo (0.6424, 0.6424, 0.7500)



No. 14
Computed, not measured: a relaxed structure of SrHgPt at the PBE level of DFT.

## Properties
SG   F-43m, No. 216
Spin magnetization   0.000 μB per atom
ΔH_f (0 K)   -0.57 eV per atom
Total energy   -3.244 eV per atom

Unit cell a=4.9328 b=4.9328 c=4.9328 alpha=60.00 beta=60.00 gamma=60.00
Fractional positions:
Sr (0.0000, 0.0000, 0.0000)
Hg (0.5000, 0.5000, 0.5000)
Pt (0.7500, 0.7500, 0.7500)



No. 15
Computed, not measured: a relaxed structure of Nd2Y5Tm3 at the PBE level of DFT.

## Properties
SG   C2/c, No. 15
Spin magnetization   0.000 μB per atom
ΔH_f (0 K)   0.19 eV per atom
Total energy   -5.341 eV per atom

Unit cell a=9.6791 b=9.6791 c=9.3260 alpha=108.27 beta=108.27 gamma=113.14
Fractional positions:
Nd (0.0171, 0.2650, 0.0440)
Nd (0.2650, 0.0171, 0.5440)
Nd (0.7350, 0.9829, 0.4560)
Nd (0.9829, 0.7350, 0.9560)
Y (0.1482, 0.3794, 0.7726)
Y (0.2309, 0.7691, 0.7500)
Y (0.2739, 0.7261, 0.2500)
Y (0.3794, 0.1482, 0.2726)
Y (0.4716, 0.5284, 0.2500)
Y (0.5284, 0.4716, 0.7500)
Y (0.6206, 0.8518, 0.7274)
Y (0.7261, 0.2739, 0.7500)
Y (0.7691, 0.2309, 0.2500)
Y (0.8518, 0.6206, 0.2274)
Tm (0.0265, 0.9735, 0.7500)
Tm (0.2236, 0.4636, 0.4504)
Tm (0.4636, 0.2236, 0.9504)
Tm (0.5364, 0.7764, 0.0496)
Tm (0.7764, 0.5364, 0.5496)
Tm (0.9735, 0.0265, 0.2500)



No. 16
Computed, not measured: a relaxed structure of Dy4Tl2Rh at the PBE level of DFT.

## Properties
SG   P2/m, No. 10
Spin magnetization   0.000 μB per atom
ΔH_f (0 K)   -0.34 eV per atom
Total energy   -4.700 eV per atom

Unit cell a=6.5498 b=3.7117 c=9.0044 alpha=90.00 beta=110.47 gamma=90.00
Fractional positions:
Dy (0.1201, 0.0000, 0.2564)
Dy (0.3337, 0.5000, 0.6519)
Dy (0.6663, 0.5000, 0.3481)
Dy (0.8799, 0.0000, 0.7436)
Tl (0.2622, 0.5000, 0.9994)
Tl (0.7378, 0.5000, 0.0006)
Rh (0.5000, 0.0000, 0.5000)



No. 17
Computed, not measured: a relaxed structure of Y2TlCr at the PBE level of DFT.

## Properties
Offset from the most stable computed form   185 meV/atom
SG   P4mm, No. 99
Spin magnetization   0.877 μB per atom
ΔH_f (0 K)   0.18 eV per atom
Total energy   -6.045 eV per atom

Unit cell a=3.5559 b=3.5559 c=8.2443 alpha=90.00 beta=90.00 gamma=90.00
Fractional positions:
Y (0.0000, 0.0000, 0.0000)
Y (0.5000, 0.5000, 0.3171)
Tl (0.5000, 0.5000, 0.7383)
Cr (0.0000, 0.0000, 0.5517)



No. 18
Computed, not measured: a relaxed structure of BaLi2In at the PBE level of DFT.

## Properties
SG   P4mm, No. 99
Spin magnetization   0.000 μB per atom
ΔH_f (0 K)   -0.12 eV per atom
Total energy   -2.246 eV per atom

Unit cell a=3.7815 b=3.7815 c=8.3334 alpha=90.00 beta=90.00 gamma=90.00
Fractional positions:
Ba (0.0000, 0.0000, 0.0000)
Li (0.0000, 0.0000, 0.4734)
Li (0.5000, 0.5000, 0.6546)
In (0.5000, 0.5000, 0.2979)



No. 19
Computed, not measured: a relaxed structure of CsNd2Tl2O6 at the PBE level of DFT.

## Properties
SG   P-1, No. 2
Spin magnetization   0.000 μB per atom
Total energy   -5.912 eV per atom
ΔE_f (raw)   -1.83 eV/atom

Unit cell a=6.2456 b=6.6946 c=6.6984 alpha=63.46 beta=72.88 gamma=72.92
Fractional positions:
Cs (0.0000, 0.0000, 0.0000)
Nd (0.0460, 0.3249, 0.3245)
Nd (0.9540, 0.6751, 0.6755)
Tl (0.5001, 0.2672, 0.7329)
Tl (0.4999, 0.7328, 0.2671)
O (0.2004, 0.9339, 0.4046)
O (0.2015, 0.4060, 0.9335)
O (0.2583, 0.4563, 0.4571)
O (0.7417, 0.5437, 0.5429)
O (0.7985, 0.5940, 0.0665)
O (0.7996, 0.0661, 0.5954)



No. 20
Computed, not measured: a relaxed structure of KCd2Cu at the PBE level of DFT.

## Properties
Offset from the most stable computed form   231 meV/atom
SG   I-4m2, No. 119
Spin magnetization   0.000 μB per atom
ΔH_f (0 K)   0.26 eV per atom
Total energy   -1.494 eV per atom

Unit cell a=5.2230 b=5.2230 c=5.2230 alpha=119.63 beta=119.63 gamma=90.65
Fractional positions:
K (0.0000, 0.0000, 0.0000)
Cd (0.5000, 0.5000, 0.0000)
Cd (0.7500, 0.2500, 0.5000)
Cu (0.2500, 0.7500, 0.5000)